Compound: TmScCu5
Source: Alexandria
Functional: PBE-GGA
Structure: optimized geometry

The volume comes out at 15.84 A^3/atom. The formation energy is -18.2 kJ/mol of atoms. The calculation puts the density of states at the Fermi level at 15.2 states/eV per cell. As for the total magnetization: 0.00 μB per cell.

```
data_TmScCu5
_chemical_formula_sum 'Tm4 Sc4 Cu20'
_symmetry_space_group_name_H-M 'P n m a'
_symmetry_Int_Tables_number 62
_symmetry_space_group_name_Hall '-P 2ac 2n'
_cell_length_a 8.2829
_cell_length_b 4.9667
_cell_length_c 10.7829
_cell_angle_alpha 90.00
_cell_angle_beta 90.00
_cell_angle_gamma 90.00
loop_
_atom_site_label
_atom_site_type_symbol
_atom_site_fract_x
_atom_site_fract_y
_atom_site_fract_z
_atom_site_occupancy
Tm1 Tm 0.1286 0.2500 0.1401 1
Sc1 Sc 0.2366 0.2500 0.4465 1
Cu1 Cu 0.0529 0.2500 0.8907 1
Cu2 Cu 0.0700 0.0000 0.6810 1
Cu3 Cu 0.0891 0.7500 0.4794 1
Cu4 Cu 0.1937 0.7500 0.2643 1
```